Record 1
HfTh3Al8 after structural relaxation. Source: Alexandria via LeMat-Bulk, functional PBE.

The formation energy is -0.375 eV/atom.

Lattice parameters (Å, degrees): 5.6068 5.6068 9.7204 73.24 73.24 60.00
Last column: nearest neighbours and their distance in Å.
Fractional coordinates of all 12 atoms:
Al 0.4358 0.4358 0.1938  6 Al 2.74-2.83
Al 0.9386 0.9386 0.6807  6 Al 2.78-2.87
Al 0.9346 0.4358 0.1938  6 Al 2.74-2.83
Al 0.4358 0.9346 0.1938  6 Al 2.74-2.83
Al 0.1883 0.1883 0.4352  6 Al 2.74-2.78
Al 0.6865 0.6865 0.9404  6 Al 2.83-2.87
Al 0.9386 0.4421 0.6807  6 Al 2.78-2.87
Al 0.4421 0.9386 0.6807  6 Al 2.78-2.87
Th 0.9989 0.9989 0.0034  12 Al 3.29-3.38, 1 Hf 3.39, 3 Th 3.44
Th 0.3749 0.3749 0.8752  12 Al 3.29-3.34, 4 Th 3.44
Th 0.5002 0.5002 0.4994  12 Al 3.23-3.29, 3 Hf 3.44, 1 Th 3.44
Hf 0.8757 0.8757 0.3730  12 Al 3.25-3.29, 4 Th 3.39-3.44


Record 2
LiTaTlRe2 after structural relaxation. Source: Alexandria via LeMat-Bulk, functional PBE.

The formation energy is 2.062 eV/atom.

Lattice parameters (Å, degrees): 4.9713 3.9847 4.9713 90.00 90.00 90.00
Last column: nearest neighbours and their distance in Å.
Fractional coordinates of all 5 atoms:
Ta 0.5000 0.5000 0.5000  8 Re 3.19, 4 Li 3.52
Tl 0.0000 0.0000 0.0000  2 Li 1.99
Re 0.0000 0.0000 0.5000  2 Tl 2.49
Re 0.5000 0.0000 0.0000  2 Tl 2.49
Li 0.0000 0.5000 0.0000  2 Tl 1.99


Record 3
Na4Tb3NpS8 after structural relaxation. Source: Alexandria via LeMat-Bulk, functional PBE.

The calculation puts the uncorrected formation energy at -1.711 eV per atom.

Lattice parameters (Å, degrees): 8.0311 8.1300 8.0310 119.61 120.00 90.00
Last column: nearest neighbours and their distance in Å.
Fractional coordinates of all 16 atoms:
S 0.7565 0.2723 0.0156  2 Tb 2.77, 1 Np 2.78, 3 Na 2.94-2.95
S 0.2573 0.2719 0.5146  3 Tb 2.77, 3 Na 2.94-2.95
S 0.7427 0.7281 0.4854  3 Tb 2.77, 3 Na 2.94-2.95
S 0.2435 0.7277 0.4870  2 Tb 2.77, 1 Np 2.78, 3 Na 2.94-2.95
S 0.7565 0.2723 0.5130  2 Tb 2.77, 1 Np 2.78, 3 Na 2.94-2.95
S 0.2591 0.2723 0.0156  2 Tb 2.77, 1 Np 2.78, 3 Na 2.94-2.95
S 0.2435 0.7277 0.9844  2 Tb 2.77, 1 Np 2.78, 3 Na 2.94-2.95
S 0.7409 0.7277 0.9844  2 Tb 2.77, 1 Np 2.78, 3 Na 2.94-2.95
Na 0.5000 0.0000 0.0000  6 S 2.94
Na 0.5000 0.0000 0.5000  6 S 2.95
Na 0.0000 0.0000 0.0000  6 S 2.94-2.95
Na 0.0000 0.0000 0.5000  6 S 2.95
Tb 0.0000 0.5000 0.5000  6 S 2.77
Tb 0.5000 0.5000 0.0000  6 S 2.77
Tb 0.5000 0.5000 0.5000  6 S 2.77
Np 0.0000 0.5000 0.0000  6 S 2.78


Record 4
RbBaLiSn after structural relaxation. Source: Alexandria via LeMat-Bulk, functional PBE.

The formation energy is -0.250 eV/atom.

Lattice parameters (Å, degrees): 5.8237 5.8237 5.8237 60.00 60.00 60.00
Last column: nearest neighbours and their distance in Å.
Fractional coordinates of all 4 atoms:
Ba 0.0000 0.0000 0.0000  4 Rb 3.57, 4 Sn 3.57
Li 0.5000 0.5000 0.5000  4 Sn 3.57, 4 Rb 3.57
Rb 0.7500 0.7500 0.7500  4 Li 3.57, 4 Ba 3.57
Sn 0.2500 0.2500 0.2500  4 Ba 3.57, 4 Li 3.57


no.,magnetization (μB/atom),total energy (eV/atom)
1,0.00,-5.55
2,0.08,-6.14
3,0.25,-5.78
4,0.00,-2.45